# 1
Here is a geometry-optimized Ge2SbPd8 structure from Alexandria via LeMat-Bulk. Energies are from GGA-PBE.

Structure (CIF):
```
data_Ge2SbPd8
_chemical_formula_sum 'Ge4 Sb2 Pd16'
_cell_length_a 14.711
_cell_length_b 4.100
_cell_length_c 6.289
_cell_angle_alpha 90.00
_cell_angle_beta 111.16
_cell_angle_gamma 90.00
_space_group_name_H-M_alt 'C 1 2/m 1'
_space_group_IT_number 12
_space_group_name_Hall '-C 2y'
loop_
_atom_site_label
_atom_site_type_symbol
_atom_site_fract_x
_atom_site_fract_y
_atom_site_fract_z
Ge1 Ge 0.188 0.000 0.182
Sb1 Sb 0.000 0.500 0.500
Pd1 Pd 0.032 0.000 0.259
Pd2 Pd 0.095 0.500 0.967
Pd3 Pd 0.175 0.500 0.449
Pd4 Pd 0.190 0.000 0.790
```

Summary:
Energy above the lowest structure with this stoichiometry (eV/atom): 0.000
ΔE_f (raw) (eV per atom): -0.447
ρ (g/cm³): 10.50


# 2
Here is a geometry-optimized RbLi2TlCd structure from Alexandria via LeMat-Bulk. Energies are from GGA-PBE.

Structure (CIF):
```
data_RbLi2TlCd
_chemical_formula_sum 'Rb1 Li2 Tl1 Cd1'
_cell_length_a 5.519
_cell_length_b 5.519
_cell_length_c 5.752
_cell_angle_alpha 90.00
_cell_angle_beta 90.00
_cell_angle_gamma 90.00
_space_group_name_H-M_alt 'P 4/m m m'
_space_group_IT_number 123
_space_group_name_Hall '-P 4 2'
loop_
_atom_site_label
_atom_site_type_symbol
_atom_site_fract_x
_atom_site_fract_y
_atom_site_fract_z
Rb1 Rb 0.000 0.000 0.000
Li1 Li 0.000 0.500 0.500
Tl1 Tl 0.500 0.500 0.500
Cd1 Cd 0.500 0.500 0.000
```

Summary:
Energy of formation (eV per atom): 0.01
ρ (g/cm³): 3.94


# 3
Here is a geometry-optimized CuIr2F2 structure from Alexandria via LeMat-Bulk. Energies are from GGA-PBE.

Structure (CIF):
```
data_CuIr2F2
_chemical_formula_sum 'Cu2 Ir4 F4'
_cell_length_a 3.323
_cell_length_b 3.323
_cell_length_c 11.457
_cell_angle_alpha 90.00
_cell_angle_beta 90.00
_cell_angle_gamma 90.00
_space_group_name_H-M_alt 'I 4/m m m'
_space_group_IT_number 139
_space_group_name_Hall '-I 4 2'
loop_
_atom_site_label
_atom_site_type_symbol
_atom_site_fract_x
_atom_site_fract_y
_atom_site_fract_z
Cu1 Cu 0.000 0.000 0.000
Ir1 Ir 0.000 0.000 0.396
F1 F 0.000 0.500 0.250
```

Summary:
Energy above the lowest structure with this stoichiometry (eV/atom): 0.000
ΔE_f (raw) (eV per atom): 0.041
ρ (g/cm³): 12.76


# 4
Here is a geometry-optimized TiBPb3 structure from Alexandria via LeMat-Bulk. Energies are from GGA-PBE.

Structure (CIF):
```
data_TiBPb3
_chemical_formula_sum 'Ti1 B1 Pb3'
_cell_length_a 5.000
_cell_length_b 5.000
_cell_length_c 5.000
_cell_angle_alpha 90.00
_cell_angle_beta 90.00
_cell_angle_gamma 90.00
_space_group_name_H-M_alt 'P m -3 m'
_space_group_IT_number 221
_space_group_name_Hall '-P 4 2 3'
loop_
_atom_site_label
_atom_site_type_symbol
_atom_site_fract_x
_atom_site_fract_y
_atom_site_fract_z
Ti1 Ti 0.000 0.000 0.000
B1 B 0.500 0.500 0.500
Pb1 Pb 0.000 0.500 0.500
```

Summary:
Energy of formation (eV per atom): 1.01
Energy above the lowest structure with this stoichiometry (eV/atom): 0.000
ρ (g/cm³): 9.04


# 5
Here is a geometry-optimized Pr2Y3TmTe6 structure from Alexandria via LeMat-Bulk. Energies are from GGA-PBE.

Structure (CIF):
```
data_Pr2Y3TmTe6
_chemical_formula_sum 'Pr4 Y6 Tm2 Te12'
_cell_length_a 19.290
_cell_length_b 4.373
_cell_length_c 8.876
_cell_angle_alpha 90.00
_cell_angle_beta 102.87
_cell_angle_gamma 90.00
_space_group_name_H-M_alt 'C 1 2/m 1'
_space_group_IT_number 12
_space_group_name_Hall '-C 2y'
loop_
_atom_site_label
_atom_site_type_symbol
_atom_site_fract_x
_atom_site_fract_y
_atom_site_fract_z
Pr1 Pr 0.172 0.000 0.338
Y1 Y 0.000 0.500 0.500
Y2 Y 0.176 0.000 0.836
Tm1 Tm 0.000 0.500 0.000
Te1 Te 0.004 0.000 0.757
Te2 Te 0.160 0.500 0.590
Te3 Te 0.161 0.500 0.071
```

Summary:
ΔE_f (raw) (eV per atom): -1.333
ρ (g/cm³): 6.75


# 6
Here is a geometry-optimized Li2ErTm2Pb2 structure from Alexandria via LeMat-Bulk. Energies are from GGA-PBE.

Structure (CIF):
```
data_Li2ErTm2Pb2
_chemical_formula_sum 'Li6 Er3 Tm6 Pb6'
_cell_length_a 4.8236
_cell_length_b 4.8236
_cell_length_c 26.1441
_cell_angle_alpha 90.00
_cell_angle_beta 90.00
_cell_angle_gamma 120.00
_space_group_name_H-M_alt 'R -3 m'
_space_group_IT_number 166
_space_group_name_Hall '-R 3 2"'
loop_
_atom_site_label
_atom_site_type_symbol
_atom_site_fract_x
_atom_site_fract_y
_atom_site_fract_z
Li1 Li 0.0000 0.0000 0.0948
Er1 Er 0.0000 0.0000 0.5000
Tm1 Tm 0.0000 0.0000 0.3706
Pb1 Pb 0.0000 0.0000 0.2359
```

Summary:
Energy of formation (eV per atom): -0.27
ρ (g/cm³): 8.83


# 7
Here is a geometry-optimized BrCl3 structure from Alexandria via LeMat-Bulk. Energies are from GGA-PBE.

Structure (CIF):
```
data_BrCl3
_chemical_formula_sum 'Br1 Cl3'
_cell_length_a 4.516
_cell_length_b 4.526
_cell_length_c 7.650
_cell_angle_alpha 90.00
_cell_angle_beta 90.00
_cell_angle_gamma 90.00
_space_group_name_H-M_alt 'P m m 2'
_space_group_IT_number 25
_space_group_name_Hall 'P 2 -2'
loop_
_atom_site_label
_atom_site_type_symbol
_atom_site_fract_x
_atom_site_fract_y
_atom_site_fract_z
Br1 Br 0.000 0.000 0.000
Cl1 Cl 0.000 0.500 0.090
Cl2 Cl 0.500 0.000 0.504
Cl3 Cl 0.500 0.500 0.581
```

Summary:
ΔE_f (raw) (eV per atom): 0.085
ρ (g/cm³): 1.98


# 8
Here is a geometry-optimized Ta2AgRh structure from Alexandria via LeMat-Bulk. Energies are from GGA-PBE.

Structure (CIF):
```
data_Ta2AgRh
_chemical_formula_sum 'Ta4 Ag2 Rh2'
_cell_length_a 2.977
_cell_length_b 4.835
_cell_length_c 9.569
_cell_angle_alpha 90.00
_cell_angle_beta 90.00
_cell_angle_gamma 90.00
_space_group_name_H-M_alt 'I m m 2'
_space_group_IT_number 44
_space_group_name_Hall 'I 2 -2'
loop_
_atom_site_label
_atom_site_type_symbol
_atom_site_fract_x
_atom_site_fract_y
_atom_site_fract_z
Ta1 Ta 0.000 0.000 0.000
Ta2 Ta 0.000 0.500 0.250
Ag1 Ag 0.000 0.000 0.481
Rh1 Rh 0.000 0.500 0.731
```

Summary:
Energy of formation (eV per atom): 0.08
ρ (g/cm³): 13.81


# 9
Here is a geometry-optimized Zr4AsC structure from Alexandria via LeMat-Bulk. Energies are from GGA-PBE.

Structure (CIF):
```
data_Zr4AsC
_chemical_formula_sum 'Zr16 As4 C4'
_cell_length_a 7.488
_cell_length_b 12.797
_cell_length_c 5.867
_cell_angle_alpha 90.00
_cell_angle_beta 123.94
_cell_angle_gamma 90.00
_space_group_name_H-M_alt 'C 1 2/c 1'
_space_group_IT_number 15
_space_group_name_Hall '-C 2yc'
loop_
_atom_site_label
_atom_site_type_symbol
_atom_site_fract_x
_atom_site_fract_y
_atom_site_fract_z
Zr1 Zr 0.127 0.207 0.129
Zr2 Zr 0.228 0.049 0.715
As1 As 0.000 0.386 0.750
C1 C 0.000 0.065 0.250
```

Summary:
Energy of formation (eV per atom): -0.64
ρ (g/cm³): 6.43


# 10
Here is a geometry-optimized Li4Hf2Ta structure from Alexandria via LeMat-Bulk. Energies are from GGA-PBE.

Structure (CIF):
```
data_Li4Hf2Ta
_chemical_formula_sum 'Li8 Hf4 Ta2'
_cell_length_a 4.581
_cell_length_b 4.581
_cell_length_c 14.960
_cell_angle_alpha 90.00
_cell_angle_beta 90.00
_cell_angle_gamma 90.00
_space_group_name_H-M_alt 'I 4/m m m'
_space_group_IT_number 139
_space_group_name_Hall '-I 4 2'
loop_
_atom_site_label
_atom_site_type_symbol
_atom_site_fract_x
_atom_site_fract_y
_atom_site_fract_z
Li1 Li 0.000 0.000 0.187
Li2 Li 0.000 0.500 0.000
Hf1 Hf 0.000 0.000 0.404
Ta1 Ta 0.000 0.000 0.000
```

Summary:
Energy of formation (eV per atom): 1.16
ρ (g/cm³): 5.98


# 11
Here is a geometry-optimized NaYCd structure from Alexandria via LeMat-Bulk. Energies are from GGA-PBE.

Structure (CIF):
```
data_NaYCd
_chemical_formula_sum 'Na4 Y4 Cd4'
_cell_length_a 15.029
_cell_length_b 4.785
_cell_length_c 4.841
_cell_angle_alpha 90.00
_cell_angle_beta 90.00
_cell_angle_gamma 90.00
_space_group_name_H-M_alt 'A m m 2'
_space_group_IT_number 38
_space_group_name_Hall 'A 2 -2'
loop_
_atom_site_label
_atom_site_type_symbol
_atom_site_fract_x
_atom_site_fract_y
_atom_site_fract_z
Na1 Na 0.157 0.000 0.000
Y1 Y 0.355 0.000 0.499
Cd1 Cd 0.000 0.000 0.501
Cd2 Cd 0.500 0.000 0.998
```

Summary:
Energy of formation (eV per atom): -0.02
ρ (g/cm³): 4.28


# 12
Here is a geometry-optimized KInCoB2 structure from Alexandria via LeMat-Bulk. Energies are from GGA-PBE.

Structure (CIF):
```
data_KInCoB2
_chemical_formula_sum 'K1 In1 Co1 B2'
_cell_length_a 4.090
_cell_length_b 4.090
_cell_length_c 4.906
_cell_angle_alpha 90.00
_cell_angle_beta 90.00
_cell_angle_gamma 90.00
_space_group_name_H-M_alt 'P 4/m m m'
_space_group_IT_number 123
_space_group_name_Hall '-P 4 2'
loop_
_atom_site_label
_atom_site_type_symbol
_atom_site_fract_x
_atom_site_fract_y
_atom_site_fract_z
K1 K 0.000 0.000 0.000
In1 In 0.500 0.500 0.000
Co1 Co 0.500 0.500 0.500
B1 B 0.000 0.500 0.500
```

Summary:
Energy of formation (eV per atom): 0.76
ρ (g/cm³): 4.75